1.
# PBE Th2TcGe, relaxed
# Density in g cm⁻³: 10.01
# Energy above the lowest structure with this stoichiometry in kJ/mol of atoms: 28.6
# Formation enthalpy at 0 K in meV/atom: -154
# Electronic total energy in eV/atom: -7.610
data_Th2TcGe
_space_group_name_H-M_alt 'R -3 m'
_space_group_IT_number 166
_space_group_name_Hall '-R 3 2"'
_cell_length_a 4.1891
_cell_length_b 4.1891
_cell_length_c 20.7799
_cell_angle_alpha 90.00
_cell_angle_beta 90.00
_cell_angle_gamma 120.00
loop_
_atom_site_label
_atom_site_type_symbol
_atom_site_fract_x
_atom_site_fract_y
_atom_site_fract_z
Th1 Th 0.0000 0.0000 0.2406
Tc1 Tc 0.0000 0.0000 0.5000
Ge1 Ge 0.0000 0.0000 0.0000

---

2.
# PBE ThTc4Ge6, relaxed
# Density in g cm⁻³: 8.62
# Formation enthalpy at 0 K in meV/atom: -222
# Electronic total energy in eV/atom: -7.185
data_ThTc4Ge6
_space_group_name_H-M_alt 'I -4 2 m'
_space_group_IT_number 121
_space_group_name_Hall 'I -4 2'
_cell_length_a 6.624
_cell_length_b 6.624
_cell_length_c 9.308
_cell_angle_alpha 90.00
_cell_angle_beta 90.00
_cell_angle_gamma 90.00
loop_
_atom_site_label
_atom_site_type_symbol
_atom_site_fract_x
_atom_site_fract_y
_atom_site_fract_z
Th1 Th 0.000 0.000 0.000
Tc1 Tc 0.165 0.165 0.412
Ge1 Ge 0.000 0.500 0.000
Ge2 Ge 0.187 0.187 0.699

---

3.
# PBE Th4TcGe8, relaxed
# Density in g cm⁻³: 9.03
# Formation enthalpy at 0 K in meV/atom: -555
# Electronic total energy in eV/atom: -6.477
data_Th4TcGe8
_space_group_name_H-M_alt 'P m m 2'
_space_group_IT_number 25
_cell_length_a 4.130
_cell_length_b 4.218
_cell_length_c 16.969
_cell_angle_alpha 90.00
_cell_angle_beta 90.00
_cell_angle_gamma 90.00
loop_
_space_group_symop_operation_xyz
'x,y,z'
'-x,-y,z'
'-x,y,z'
'x,-y,z'
loop_
_atom_site_label
_atom_site_type_symbol
_atom_site_fract_x
_atom_site_fract_y
_atom_site_fract_z
Th1 Th 0.000 0.000 0.000
Th2 Th 0.000 0.500 0.490
Th3 Th 0.500 0.000 0.782
Th4 Th 0.500 0.500 0.280
Tc1 Tc 0.000 0.500 0.705
Ge1 Ge 0.000 0.000 0.335
Ge2 Ge 0.000 0.000 0.623
Ge3 Ge 0.000 0.500 0.140
Ge4 Ge 0.000 0.500 0.851
Ge5 Ge 0.500 0.000 0.141
Ge6 Ge 0.500 0.000 0.434
Ge7 Ge 0.500 0.500 0.622
Ge8 Ge 0.500 0.500 0.943

---

4.
# PBE ThTc4Ge2, relaxed
# Density in g cm⁻³: 10.33
# Formation enthalpy at 0 K in meV/atom: -433
# Electronic total energy in eV/atom: -8.736
data_ThTc4Ge2
_space_group_name_H-M_alt 'C m m m'
_space_group_IT_number 65
_space_group_name_Hall '-C 2 2'
_cell_length_a 4.198
_cell_length_b 14.234
_cell_length_c 4.140
_cell_angle_alpha 90.00
_cell_angle_beta 90.00
_cell_angle_gamma 90.00
loop_
_atom_site_label
_atom_site_type_symbol
_atom_site_fract_x
_atom_site_fract_y
_atom_site_fract_z
Th1 Th 0.000 0.000 0.000
Tc1 Tc 0.000 0.193 0.500
Tc2 Tc 0.000 0.302 0.000
Ge1 Ge 0.000 0.411 0.500

---

5.
# PBE Th3Tc2Ge4, relaxed
# Density in g cm⁻³: 10.00
# Formation enthalpy at 0 K in meV/atom: -604
# Electronic total energy in eV/atom: -7.433
data_Th3Tc2Ge4
_space_group_name_H-M_alt 'C 1 2/m 1'
_space_group_IT_number 12
_cell_length_a 10.901
_cell_length_b 4.496
_cell_length_c 8.443
_cell_angle_alpha 90.00
_cell_angle_beta 108.29
_cell_angle_gamma 90.00
loop_
_space_group_symop_operation_xyz
'x,y,z'
'-x,-y,-z'
'-x,y,-z'
'x,-y,z'
'x+1/2,y+1/2,z'
'-x+1/2,-y+1/2,-z'
'-x+1/2,y+1/2,-z'
'x+1/2,-y+1/2,z'
loop_
_atom_site_label
_atom_site_type_symbol
_atom_site_fract_x
_atom_site_fract_y
_atom_site_fract_z
Th1 Th 0.000 0.000 0.000
Th2 Th 0.126 0.500 0.699
Tc1 Tc 0.182 0.500 0.363
Ge1 Ge 0.096 0.000 0.404
Ge2 Ge 0.207 0.500 0.080

---

6.
# PBE Th4Tc3Ge5, relaxed
# Density in g cm⁻³: 9.24
# Formation enthalpy at 0 K in meV/atom: -107
# Electronic total energy in eV/atom: -7.096
data_Th4Tc3Ge5
_space_group_name_H-M_alt 'C 1 2/m 1'
_space_group_IT_number 12
_cell_length_a 14.911
_cell_length_b 4.563
_cell_length_c 11.177
_cell_angle_alpha 90.00
_cell_angle_beta 131.46
_cell_angle_gamma 90.00
loop_
_space_group_symop_operation_xyz
'x,y,z'
'-x,-y,-z'
'-x,y,-z'
'x,-y,z'
'x+1/2,y+1/2,z'
'-x+1/2,-y+1/2,-z'
'-x+1/2,y+1/2,-z'
'x+1/2,-y+1/2,z'
loop_
_atom_site_label
_atom_site_type_symbol
_atom_site_fract_x
_atom_site_fract_y
_atom_site_fract_z
Th1 Th 0.085 0.000 0.414
Th2 Th 0.240 0.000 0.868
Tc1 Tc 0.000 0.000 0.000
Tc2 Tc 0.065 0.500 0.838
Ge1 Ge 0.000 0.500 0.000
Ge2 Ge 0.091 0.500 0.639
Ge3 Ge 0.211 0.000 0.293

---

7.
# PBE ThTc2Ge2, relaxed
# Density in g cm⁻³: 10.00
# Energy above the lowest structure with this stoichiometry in kJ/mol of atoms: 0.0
# Formation enthalpy at 0 K in meV/atom: -470
# Electronic total energy in eV/atom: -7.947
data_ThTc2Ge2
_space_group_name_H-M_alt 'I m m a'
_space_group_IT_number 74
_space_group_name_Hall '-I 2b 2'
_cell_length_a 4.213
_cell_length_b 4.220
_cell_length_c 21.418
_cell_angle_alpha 90.00
_cell_angle_beta 90.00
_cell_angle_gamma 90.00
loop_
_atom_site_label
_atom_site_type_symbol
_atom_site_fract_x
_atom_site_fract_y
_atom_site_fract_z
Th1 Th 0.000 0.250 0.159
Tc1 Tc 0.000 0.250 0.461
Tc2 Tc 0.000 0.250 0.964
Ge1 Ge 0.000 0.250 0.603
Ge2 Ge 0.000 0.250 0.720

---

8.
# PBE ThTc2Ge3, relaxed
# Density in g cm⁻³: 9.50
# Formation enthalpy at 0 K in meV/atom: -328
# Electronic total energy in eV/atom: -7.328
data_ThTc2Ge3
_space_group_name_H-M_alt 'R -3 m'
_space_group_IT_number 166
_space_group_name_Hall '-R 3 2"'
_cell_length_a 6.1124
_cell_length_b 6.1124
_cell_length_c 20.9326
_cell_angle_alpha 90.00
_cell_angle_beta 90.00
_cell_angle_gamma 120.00
loop_
_atom_site_label
_atom_site_type_symbol
_atom_site_fract_x
_atom_site_fract_y
_atom_site_fract_z
Th1 Th 0.0000 0.0000 0.2160
Tc1 Tc 0.0000 0.0000 0.0000
Tc2 Tc 0.0000 0.5000 0.0000
Ge1 Ge 0.0032 0.5016 0.2436